No. 1
Density functional theory data (PBE-GGA) for LiAcGdTm after structural relaxation.

## Properties
calculated formation energy	58.3	kJ/mol of formula units
crystal system	cubic
symmetry	No. 216

POSCAR file:
```
LiAcGdTm
1.0
5.672 0.000 0.000
2.836 4.912 0.000
2.836 1.637 4.631
Tm Ac Gd Li
1 1 1 1
Direct
0.500 0.500 0.500
0.250 0.250 0.250
0.750 0.750 0.750
0.000 0.000 0.000
```

No. 2
Density functional theory data (PBE-GGA) for LiAcGdZn after structural relaxation.

## Properties
calculated formation energy	-32.8	kJ/mol of formula units
crystal system	cubic
symmetry	No. 216

POSCAR file:
```
LiAcGdZn
1.0
5.385 0.000 0.000
2.692 4.663 0.000
2.692 1.554 4.397
Zn Ac Li Gd
1 1 1 1
Direct
0.500 0.500 0.500
0.750 0.750 0.750
0.000 0.000 0.000
0.250 0.250 0.250
```

No. 3
Density functional theory data (PBE-GGA) for AcGdLu after structural relaxation.

## Properties
offset from the most stable computed form	3	meV per atom
calculated formation energy	21.0	kJ/mol of formula units
crystal system	trigonal
symmetry	No. 156

POSCAR file:
```
AcGdLu
1.0
-1.068 2.500 -2.537
-1.687 -0.126 3.312
5.877 5.772 3.213
Ac Lu Gd
1 1 1
Direct
0.000 0.000 0.996
0.333 0.667 0.659
0.667 0.333 0.345
```

No. 4
Density functional theory data (PBE-GGA) for AcGdLu2 after structural relaxation.

## Properties
calculated formation energy	24.4	kJ/mol of formula units
crystal system	tetragonal
symmetry	No. 123

POSCAR file:
```
AcGdLu2
1.0
4.986 0.000 0.000
0.000 5.198 0.000
0.000 0.000 5.198
Ac Lu Gd
1 2 1
Direct
0.500 0.000 0.000
0.000 0.000 0.500
0.000 0.500 0.000
0.500 0.500 0.500
```

No. 5
Density functional theory data (PBE-GGA) for AcGdLu after structural relaxation.

## Properties
offset from the most stable computed form	0	meV per atom
calculated formation energy	20.0	kJ/mol of formula units
crystal system	tetragonal
symmetry	No. 107

POSCAR file:
```
AcGdLu
1.0
3.739 0.000 0.000
0.000 3.739 0.000
-1.869 -1.869 7.585
Ac Lu Gd
1 1 1
Direct
0.002 0.002 0.005
0.672 0.672 0.344
0.326 0.326 0.651
```

No. 6
Density functional theory data (PBE-GGA) for AcPrGdLu after structural relaxation.

## Properties
calculated formation energy	58.6	kJ/mol of formula units
crystal system	cubic
symmetry	No. 216

POSCAR file:
```
AcPrGdLu
1.0
5.877 0.000 0.000
2.939 5.090 0.000
2.939 1.697 4.799
Lu Pr Gd Ac
1 1 1 1
Direct
0.500 0.500 0.500
0.250 0.250 0.250
0.750 0.750 0.750
0.000 0.000 0.000
```

No. 7
Density functional theory data (PBE-GGA) for AcSmGdLu after structural relaxation.

## Properties
calculated formation energy	58.7	kJ/mol of formula units
crystal system	cubic
symmetry	No. 216

POSCAR file:
```
AcSmGdLu
1.0
5.842 0.000 0.000
2.921 5.059 0.000
2.921 1.686 4.770
Lu Sm Ac Gd
1 1 1 1
Direct
0.000 0.000 0.000
0.250 0.250 0.250
0.500 0.500 0.500
0.750 0.750 0.750
```

No. 8
Density functional theory data (PBE-GGA) for AcGdLuSn after structural relaxation.

## Properties
calculated formation energy	-56.6	kJ/mol of formula units
crystal system	cubic
symmetry	No. 216

POSCAR file:
```
AcGdLuSn
1.0
5.551 0.000 0.000
2.775 4.807 0.000
2.775 1.602 4.532
Sn Ac Lu Gd
1 1 1 1
Direct
0.250 0.250 0.250
0.750 0.750 0.750
0.000 0.000 0.000
0.500 0.500 0.500
```